Entry 1:
VASP calculation (PBE) on a relaxed K3Li2UF9 crystal.

ΔE_f (raw), kcal/mol of atoms: -71.14
N(E_F), states/eV/cell: 7.11
Magnetization, μB per atom: 0.133

a b c (Å): 5.9104 5.9104 7.8872
angles (deg): 90.00 90.00 120.00
Space group P-3m1 (No. 164)
One atom of each set of equivalent atoms:
K  0.0000  0.0000  0.0000 (multiplicity 1)
K  0.3333  0.6667  0.7492 (multiplicity 2)
Li  0.3333  0.6667  0.1241 (multiplicity 2)
U  0.0000  0.0000  0.5000 (multiplicity 1)
F  0.0000  0.5000  0.0000 (multiplicity 3)
F  0.1670  0.3340  0.3287 (multiplicity 6)

***

Entry 2:
VASP calculation (PBE) on a relaxed KLi2UF8 crystal.

ΔE_f (raw), kcal/mol of atoms: -70.14
N(E_F), states/eV/cell: 21.74
Magnetization, μB per atom: 0.078

a b c (Å): 5.0278 5.0278 24.0910
angles (deg): 90.00 90.00 120.00
Space group R32 (No. 155, hexagonal axes)
One atom of each set of equivalent atoms:
K  0.0000  0.0000  0.0000 (multiplicity 3)
Li  0.0000  0.0000  0.2710 (multiplicity 6)
U  0.0000  0.0000  0.5000 (multiplicity 3)
F  0.0000  0.0000  0.3435 (multiplicity 6)
F  0.0039  0.3543  0.8882 (multiplicity 18)

***

Q: Which of these has the highest magnetization?
A: K3Li2UF9

***

Q: Which of these has the lowest magnetization?
A: KLi2UF8